PBE Cs2ZrNbF6, relaxed; ρ = 4.98 g/cm3; E = -5.547 eV/atom; E_form (uncorrected) = -2.392 eV per atom
1.0
0.0000 4.5474 4.5474
4.5474 0.0000 4.5474
4.5474 4.5474 0.0000
Cs Zr Nb F
2 1 1 6
Direct
0.2500 0.2500 0.2500
0.7500 0.7500 0.7500
0.0000 0.0000 0.0000
0.5000 0.5000 0.5000
0.2537 0.2537 0.7463
0.2537 0.7463 0.2537
0.2537 0.7463 0.7463
0.7463 0.2537 0.2537
0.7463 0.2537 0.7463
0.7463 0.7463 0.2537



PBE Cs2NdF6, relaxed; ρ = 4.28 g/cm3; E = -4.997 eV/atom; E_form (uncorrected) = -3.030 eV per atom
1.0
-2.1069 3.5094 6.8792
2.1069 -3.5094 6.8792
2.1069 3.5094 -6.8792
Cs Nd F
2 1 6
Direct
0.1679 0.1679 0.0000
0.8321 0.8321 0.0000
0.5000 0.5000 0.0000
0.1592 0.3659 0.7933
0.3164 0.0000 0.3164
0.4274 0.6341 0.7933
0.5726 0.3659 0.2067
0.6836 0.0000 0.6836
0.8408 0.6341 0.2067